NdErTmCd: optimized geometry, PBE-GGA.

Cell: 5.4669 5.4669 5.4669 Å, 60.00 60.00 60.00°
With the nearest neighbours (Å) after each atom.
Sites, in units of the cell vectors:
Er 0.5000 0.5000 0.5000  4 Tm 3.35, 4 Cd 3.35
Tm 0.2500 0.2500 0.2500  4 Nd 3.35, 4 Er 3.35
Nd 0.0000 0.0000 0.0000  4 Cd 3.35, 4 Tm 3.35
Cd 0.7500 0.7500 0.7500  4 Er 3.35, 4 Nd 3.35

Formation energy (eV/atom): -0.03
Energy above the most stable polymorph in this dataset (eV per atom): 0.1174
Electronic total energy (Ha/atom): -0.13637
Total magnetization (μB/f.u.): 0.0